1.
A relaxed structure of Sm2CdAgHg4, computed with GGA-PBE.

Lattice parameters (Å, degrees): 5.1033 5.1033 8.8739 73.29 73.29 60.00
Element x y z (fractional)
Hg (0.6236, 0.6236, 0.1293)
Hg (0.1269, 0.1269, 0.6193)
Hg (0.3764, 0.3764, 0.8707)
Hg (0.8731, 0.8731, 0.3807)
Cd (0.0000, 0.0000, 0.0000)
Ag (0.5000, 0.5000, 0.5000)
Sm (0.2502, 0.2502, 0.2495)
Sm (0.7498, 0.7498, 0.7505)

Values from the calculation:
Formation enthalpy at 0 K = -380 meV/atom
Magnetization = 0.0 μB per formula unit

2.
A relaxed structure of CrP2Au, computed with GGA-PBE.

Lattice parameters (Å, degrees): 4.7984 4.2715 4.4571 53.85 90.00 90.00
Element x y z (fractional)
P (0.5000, 0.4636, 0.3808)
P (0.0000, 0.7822, 0.8606)
Au (0.0000, 0.4950, 0.5382)
Cr (0.5000, 0.7592, 0.7205)

Values from the calculation:
Formation enthalpy at 0 K = 98 meV/atom
Magnetization = 2.7 μB per formula unit
Polymorph energy (0 for the lowest one) = 0.0849 eV per atom

3.
A relaxed structure of CoSnMoRu, computed with GGA-PBE.

Lattice parameters (Å, degrees): 4.4255 4.4255 4.4255 60.00 60.00 60.00
Element x y z (fractional)
Mo (0.0000, 0.0000, 0.0000)
Sn (0.5000, 0.5000, 0.5000)
Ru (0.2500, 0.2500, 0.2500)
Co (0.7500, 0.7500, 0.7500)

Values from the calculation:
Formation enthalpy at 0 K = 118 meV/atom
Magnetization = 2.9 μB per formula unit

4.
A relaxed structure of Pr3Al2Hg4, computed with GGA-PBE.

Lattice parameters (Å, degrees): 4.8443 6.1740 9.1811 112.65 90.00 113.10
Element x y z (fractional)
Pr (0.6610, 0.3221, 0.6738)
Pr (0.0000, 0.0000, 0.0000)
Pr (0.3390, 0.6779, 0.3262)
Hg (0.6990, 0.3981, 0.0440)
Hg (0.9153, 0.8307, 0.5906)
Hg (0.0847, 0.1693, 0.4094)
Hg (0.3010, 0.6019, 0.9560)
Al (0.3846, 0.7691, 0.7158)
Al (0.6154, 0.2309, 0.2842)

Values from the calculation:
Formation enthalpy at 0 K = -447 meV/atom
Magnetization = 0.0 μB per formula unit

5.
A relaxed structure of LaMgAgPd, computed with GGA-PBE.

Lattice parameters (Å, degrees): 4.7145 4.7139 5.5276 115.17 90.00 120.00
Element x y z (fractional)
Mg (0.1086, 0.2171, 0.9675)
La (0.6183, 0.2366, 0.4974)
Pd (0.4055, 0.8110, 0.8588)
Ag (0.8340, 0.6679, 0.1437)

Values from the calculation:
Formation enthalpy at 0 K = -524 meV/atom
Magnetization = 0.0 μB per formula unit

6.
A relaxed structure of La3Pr4Sm4, computed with GGA-PBE.

Lattice parameters (Å, degrees): 5.8857 6.8067 11.0579 90.00 90.00 115.62
Element x y z (fractional)
Sm (0.1087, 0.2174, 0.6943)
Sm (0.5551, 0.1101, 0.0000)
Sm (0.6114, 0.2228, 0.5000)
Sm (0.1087, 0.2174, 0.3057)
La (0.4121, 0.8243, 0.2900)
La (0.2528, 0.5055, 0.0000)
La (0.4121, 0.8243, 0.7100)
Pr (0.7479, 0.4958, 0.7858)
Pr (0.7479, 0.4958, 0.2142)
Pr (0.8855, 0.7710, 0.5000)
Pr (0.9563, 0.9127, 0.0000)

Values from the calculation:
Formation enthalpy at 0 K = 140 meV/atom
Magnetization = 0.0 μB per formula unit
Polymorph energy (0 for the lowest one) = 0.0000 eV per atom

What did the fourth record say?
A relaxed structure of Pr3Al2Hg4, computed with GGA-PBE.

Lattice parameters (Å, degrees): 4.8443 6.1740 9.1811 112.65 90.00 113.10
Element x y z (fractional)
Pr (0.6610, 0.3221, 0.6738)
Pr (0.0000, 0.0000, 0.0000)
Pr (0.3390, 0.6779, 0.3262)
Hg (0.6990, 0.3981, 0.0440)
Hg (0.9153, 0.8307, 0.5906)
Hg (0.0847, 0.1693, 0.4094)
Hg (0.3010, 0.6019, 0.9560)
Al (0.3846, 0.7691, 0.7158)
Al (0.6154, 0.2309, 0.2842)

Values from the calculation:
Formation enthalpy at 0 K = -447 meV/atom
Magnetization = 0.0 μB per formula unit

The highest magnetization belongs to which entry? CoSnMoRu